Entry 1:
# Sc2BeBiPb

Crystalline Sc2BeBiPb at its relaxed geometry (PBEsol, the Alexandria database).

Results
Energy of formation in kJ per mole of atoms: -2.6
Volume in Å³/cell: 112.2
Spin magnetization in μB/atom: 0.00

Cell: 4.9773 4.9773 4.5278 Å, 90.00 90.00 90.00°
Closest atoms and distances in Å follow each position.
Positions (direct):
Sc  0.0000  0.5000  0.0000  2 Be 2.49
Sc  0.5000  0.0000  0.0000  2 Be 2.49
Be  0.0000  0.0000  0.0000  2 Pb 2.26, 4 Sc 2.49
Bi  0.5000  0.5000  0.5000  8 Sc 3.36, 4 Pb 3.52
Pb  0.0000  0.0000  0.5000  2 Be 2.26

***

Entry 2:
# Mg2ZrTl

Crystalline Mg2ZrTl at its relaxed geometry (PBEsol, the Alexandria database).

Results
Energy of formation in kJ per mole of atoms: -2.0
Volume in Å³/cell: 88.3
Spin magnetization in μB/atom: 0.00
Relative energy among the computed polymorphs in meV per atom: 130

Cell: 6.0950 6.0950 3.0103 Å, 101.87 101.87 119.99°
Closest atoms and distances in Å follow each position.
Positions (direct):
Mg  0.0000  0.5000  0.0000  6 Mg 3.01-3.29, 2 Zr 3.11, 2 Tl 3.11
Mg  0.5000  0.0000  0.0000  6 Mg 3.01-3.29, 2 Zr 3.11, 2 Tl 3.11
Zr  0.0000  0.0000  0.5000  2 Zr 3.01, 4 Tl 3.05-3.29, 4 Mg 3.11
Tl  0.5000  0.5000  0.5000  2 Tl 3.01, 4 Zr 3.05-3.29, 4 Mg 3.11

***

Entry 3:
# Tl10Hg3Cl16

Crystalline Tl10Hg3Cl16 at its relaxed geometry (PBEsol, the Alexandria database).

Results
Volume in Å³/cell: 801.3
Spin magnetization in μB/atom: 0.00
E_form (uncorrected) in meV per atom: -828.3

Cell: 13.1381 13.1381 13.1381 Å, 143.40 143.40 52.72°
Closest atoms and distances in Å follow each position.
Positions (direct):
Tl  0.0445  0.5742  0.7970  7 Cl 3.00-3.35
Tl  0.2227  0.7525  0.7970  7 Cl 3.00-3.35
Tl  0.2312  0.2312  0.0000  5 Cl 3.11-3.27
Tl  0.2475  0.0445  0.4703  7 Cl 3.00-3.35
Tl  0.4258  0.2227  0.4703  7 Cl 3.00-3.35
Tl  0.5742  0.7773  0.5297  7 Cl 3.00-3.35
Tl  0.7525  0.9555  0.5297  7 Cl 3.00-3.35
Tl  0.7688  0.7688  0.0000  5 Cl 3.11-3.27
Tl  0.7773  0.2475  0.2030  7 Cl 3.00-3.35
Tl  0.9555  0.4258  0.2030  7 Cl 3.00-3.35
Hg  0.2500  0.7500  0.5000  4 Cl 2.50
Hg  0.5000  0.5000  0.0000  2 Cl 2.37
Hg  0.7500  0.2500  0.5000  4 Cl 2.50
Cl  0.0157  0.8522  0.4996  1 Hg 2.50
Cl  0.0990  0.0990  0.0000  5 Tl 3.00-3.11
Cl  0.1478  0.6475  0.1636  1 Hg 2.50
Cl  0.1742  0.3509  0.5251  1 Hg 2.96, 4 Tl 3.07-3.30
Cl  0.3509  0.8258  0.1767  1 Hg 2.96, 4 Tl 3.07-3.30
Cl  0.3525  0.5161  0.5004  1 Hg 2.50
Cl  0.3992  0.3992  0.0000  1 Hg 2.37
Cl  0.4839  0.9843  0.8364  1 Hg 2.50
Cl  0.5161  0.0157  0.1636  1 Hg 2.50
Cl  0.6008  0.6008  0.0000  1 Hg 2.37
Cl  0.6475  0.4839  0.4996  1 Hg 2.50
Cl  0.6491  0.1742  0.8233  1 Hg 2.96, 4 Tl 3.07-3.30
Cl  0.8258  0.6491  0.4749  1 Hg 2.96, 4 Tl 3.07-3.30
Cl  0.8522  0.3525  0.8364  1 Hg 2.50
Cl  0.9010  0.9010  0.0000  5 Tl 3.00-3.11
Cl  0.9843  0.1478  0.5004  1 Hg 2.50

***

Entry 4:
# Ta2InCo

Crystalline Ta2InCo at its relaxed geometry (PBEsol, the Alexandria database).

Results
Energy of formation in kJ per mole of atoms: 35.2
Volume in Å³/cell: 66.2
Spin magnetization in μB/atom: 0.52

Cell: 4.5402 4.5402 4.5402 Å, 60.00 60.00 60.00°
Closest atoms and distances in Å follow each position.
Positions (direct):
Ta  0.0000  0.0000  0.0000  4 Co 2.78, 4 Ta 2.78
Ta  0.2500  0.2500  0.2500  4 In 2.78, 4 Ta 2.78
In  0.5000  0.5000  0.5000  4 Co 2.78, 4 Ta 2.78
Co  0.7500  0.7500  0.7500  4 In 2.78, 4 Ta 2.78

***

Entry 5:
# Li2NiGe3O8

Crystalline Li2NiGe3O8 at its relaxed geometry (PBEsol, the Alexandria database).

Results
Volume in Å³/cell: 549.7
Spin magnetization in μB/atom: 0.13
E_form (uncorrected) in meV per atom: -1725.9

Cell: 8.1918 8.1918 8.1918 Å, 90.00 90.00 90.00°
Closest atoms and distances in Å follow each position.
Positions (direct):
Li  0.0034  0.0034  0.0034  4 O 1.95-1.96
Li  0.2466  0.2466  0.2466  4 O 1.95-1.96
Li  0.2534  0.7534  0.7466  4 O 1.95-1.96
Li  0.4966  0.9966  0.5034  4 O 1.95-1.96
Li  0.5034  0.4966  0.9966  4 O 1.95-1.96
Li  0.7466  0.2534  0.7534  4 O 1.95-1.96
Li  0.7534  0.7466  0.2534  4 O 1.95-1.96
Li  0.9966  0.5034  0.4966  4 O 1.95-1.96
Ni  0.1250  0.8750  0.3750  6 O 2.06
Ni  0.3750  0.1250  0.8750  6 O 2.06
Ni  0.6250  0.6250  0.6250  6 O 2.06
Ni  0.8750  0.3750  0.1250  6 O 2.06
Ge  0.1237  0.1263  0.6250  6 O 1.88-1.97
Ge  0.1250  0.3763  0.8737  6 O 1.88-1.97
Ge  0.1263  0.6250  0.1237  6 O 1.88-1.97
Ge  0.3737  0.3750  0.6237  6 O 1.88-1.97
Ge  0.3750  0.6237  0.3737  6 O 1.88-1.97
Ge  0.3763  0.8737  0.1250  6 O 1.88-1.97
Ge  0.6237  0.3737  0.3750  6 O 1.88-1.97
Ge  0.6250  0.1237  0.1263  6 O 1.88-1.97
Ge  0.6263  0.8750  0.8763  6 O 1.88-1.97
Ge  0.8737  0.1250  0.3763  6 O 1.88-1.97
Ge  0.8750  0.8763  0.6263  6 O 1.88-1.97
Ge  0.8763  0.6263  0.8750  6 O 1.88-1.97
O  0.1027  0.1246  0.3927  2 Ge 1.88-1.91, 1 Li 1.96, 1 Ni 2.06
O  0.1073  0.8973  0.6246  2 Ge 1.88-1.91, 1 Li 1.96, 1 Ni 2.06
O  0.1159  0.6159  0.8841  1 Li 1.95, 3 Ge 1.97
O  0.1254  0.1473  0.8573  2 Ge 1.88-1.91, 1 Li 1.96, 1 Ni 2.06
O  0.1246  0.3927  0.1027  2 Ge 1.88-1.91, 1 Li 1.96, 1 Ni 2.06
O  0.1341  0.3659  0.6341  1 Li 1.95, 3 Ge 1.97
O  0.1427  0.6254  0.3527  2 Ge 1.88-1.91, 1 Li 1.96, 1 Ni 2.06
O  0.1473  0.8573  0.1254  2 Ge 1.88-1.91, 1 Li 1.96, 1 Ni 2.06
O  0.3527  0.1427  0.6254  2 Ge 1.88-1.91, 1 Li 1.96, 1 Ni 2.06
O  0.3573  0.3746  0.8527  2 Ge 1.88-1.91, 1 Li 1.96, 1 Ni 2.06
O  0.3659  0.6341  0.1341  1 Li 1.95, 3 Ge 1.97
O  0.3754  0.6073  0.6027  2 Ge 1.88-1.91, 1 Li 1.96, 1 Ni 2.06
O  0.3746  0.8527  0.3573  2 Ge 1.88-1.91, 1 Li 1.96, 1 Ni 2.06
O  0.3841  0.3841  0.3841  1 Li 1.95, 3 Ge 1.97
O  0.3927  0.1027  0.1246  2 Ge 1.88-1.91, 1 Li 1.96, 1 Ni 2.06
O  0.3973  0.8754  0.8927  2 Ge 1.88-1.91, 1 Li 1.96, 1 Ni 2.06
O  0.6027  0.3754  0.6073  2 Ge 1.88-1.91, 1 Li 1.96, 1 Ni 2.06
O  0.6073  0.6027  0.3754  2 Ge 1.88-1.91, 1 Li 1.96, 1 Ni 2.06
O  0.6159  0.8841  0.1159  1 Li 1.95, 3 Ge 1.97
O  0.6246  0.1073  0.8973  2 Ge 1.88-1.91, 1 Li 1.96, 1 Ni 2.06
O  0.6254  0.3527  0.1427  2 Ge 1.88-1.91, 1 Li 1.96, 1 Ni 2.06
O  0.6341  0.1341  0.3659  1 Li 1.95, 3 Ge 1.97
O  0.6427  0.8746  0.6473  2 Ge 1.88-1.91, 1 Li 1.96, 1 Ni 2.06
O  0.6473  0.6427  0.8746  2 Ge 1.88-1.91, 1 Li 1.96, 1 Ni 2.06
O  0.8527  0.3573  0.3746  2 Ge 1.88-1.91, 1 Li 1.96, 1 Ni 2.06
O  0.8573  0.1254  0.1473  2 Ge 1.88-1.91, 1 Li 1.96, 1 Ni 2.06
O  0.8659  0.8659  0.8659  1 Li 1.95, 3 Ge 1.97
O  0.8746  0.6473  0.6427  2 Ge 1.88-1.91, 1 Li 1.96, 1 Ni 2.06
O  0.8754  0.8927  0.3973  2 Ge 1.88-1.91, 1 Li 1.96, 1 Ni 2.06
O  0.8841  0.1159  0.6159  1 Li 1.95, 3 Ge 1.97
O  0.8927  0.3973  0.8754  2 Ge 1.88-1.91, 1 Li 1.96, 1 Ni 2.06
O  0.8973  0.6246  0.1073  2 Ge 1.88-1.91, 1 Li 1.96, 1 Ni 2.06

***

Entry 6:
# LaScTa

Crystalline LaScTa at its relaxed geometry (PBEsol, the Alexandria database).

Results
Energy of formation in kJ per mole of atoms: 40.6
Volume in Å³/cell: 71.5
Spin magnetization in μB/atom: 0.00

Cell: 5.1199 5.1199 3.1477 Å, 90.00 90.00 120.00°
Closest atoms and distances in Å follow each position.
Positions (direct):
La  0.0000  0.0000  0.0000  2 La 3.15, 6 Sc 3.35, 6 Ta 3.35
Sc  0.3333  0.6667  0.5000  3 Ta 2.96, 2 Sc 3.15
Ta  0.6667  0.3333  0.5000  3 Sc 2.96, 2 Ta 3.15

***

Entry 7:
# La2MnRh

Crystalline La2MnRh at its relaxed geometry (PBEsol, the Alexandria database).

Results
Energy of formation in kJ per mole of atoms: -10.4
Volume in Å³/cell: 101.4
Spin magnetization in μB/atom: 0.50
Relative energy among the computed polymorphs in meV per atom: 0

Cell: 7.1420 7.1420 7.1420 Å, 33.98 33.98 33.98°
Closest atoms and distances in Å follow each position.
Positions (direct):
La  0.0000  0.0000  0.0000  3 Mn 3.01, 3 Rh 3.12
La  0.1880  0.1880  0.1880  3 Rh 3.01, 3 Mn 3.12
Mn  0.4230  0.4230  0.4230  3 Rh 2.42
Rh  0.7651  0.7651  0.7651  3 Mn 2.42

***

Entry 8:
# MoPt3F

Crystalline MoPt3F at its relaxed geometry (PBEsol, the Alexandria database).

Results
Volume in Å³/cell: 77.5
Spin magnetization in μB/atom: 0.51
E_form (uncorrected) in meV per atom: 980.0

Cell: 4.2642 4.2642 4.2642 Å, 90.00 90.00 90.00°
Closest atoms and distances in Å follow each position.
Positions (direct):
Mo  0.0000  0.0000  0.0000  12 Pt 3.02
Pt  0.0000  0.5000  0.5000  2 F 2.13
Pt  0.5000  0.0000  0.5000  2 F 2.13
Pt  0.5000  0.5000  0.0000  2 F 2.13
F  0.5000  0.5000  0.5000  6 Pt 2.13

***

Entry 9:
# GaAg3As

Crystalline GaAg3As at its relaxed geometry (PBEsol, the Alexandria database).

Results
Energy of formation in kJ per mole of atoms: 66.7
Volume in Å³/cell: 106.5
Spin magnetization in μB/atom: 0.00

Cell: 4.7396 4.7396 4.7396 Å, 90.00 90.00 90.00°
Closest atoms and distances in Å follow each position.
Positions (direct):
Ga  0.0000  0.0000  0.0000  6 Ag 2.37
Ag  0.0000  0.0000  0.5000  2 Ga 2.37
Ag  0.0000  0.5000  0.0000  2 Ga 2.37
Ag  0.5000  0.0000  0.0000  2 Ga 2.37
As  0.5000  0.5000  0.5000  12 Ag 3.35

***

Entry 10:
# Ta2IrBr

Crystalline Ta2IrBr at its relaxed geometry (PBEsol, the Alexandria database).

Results
Volume in Å³/cell: 68.3
Spin magnetization in μB/atom: 0.00
Relative energy among the computed polymorphs in meV per atom: 693
E_form (uncorrected) in meV per atom: 755.6

Cell: 4.5879 4.5879 4.5879 Å, 60.00 60.00 60.00°
Closest atoms and distances in Å follow each position.
Positions (direct):
Ta  0.0000  0.0000  0.0000  4 Br 2.81, 4 Ta 2.81
Ta  0.2500  0.2500  0.2500  4 Ir 2.81, 4 Ta 2.81
Ir  0.5000  0.5000  0.5000  4 Br 2.81, 4 Ta 2.81
Br  0.7500  0.7500  0.7500  4 Ta 2.81, 4 Ir 2.81